No. 1
An optimized crystal structure of Ba2AlHg6Bi, computed with PBE.

Cell lengths 8.031, 9.788, 8.119 Å; angles 90.00, 90.00, 90.00 degrees
Atoms (fractional coordinates):
Ba 0.250 0.021 0.238
Ba 0.250 0.479 0.238
Ba 0.750 0.521 0.762
Ba 0.750 0.979 0.762
Al 0.250 0.250 0.583
Al 0.750 0.750 0.417
Hg 0.063 0.750 0.515
Hg 0.067 0.250 0.890
Hg 0.250 0.510 0.682
Hg 0.250 0.990 0.682
Hg 0.433 0.250 0.890
Hg 0.437 0.750 0.515
Hg 0.563 0.250 0.485
Hg 0.567 0.750 0.110
Hg 0.750 0.010 0.318
Hg 0.750 0.490 0.318
Hg 0.933 0.750 0.110
Hg 0.937 0.250 0.485
Bi 0.250 0.750 0.917
Bi 0.750 0.250 0.083

Output
Energy   -1.589 eV per atom
Crystal system   orthorhombic

=====

No. 2
An optimized crystal structure of Rb2ThCdS4, computed with PBE.

Cell lengths 7.149, 4.168, 8.137 Å; angles 90.00, 108.77, 90.00 degrees
Atoms (fractional coordinates):
Rb 0.000 0.000 0.000
Rb 0.500 0.500 0.000
Th 0.000 0.500 0.500
Cd 0.500 0.000 0.500
S 0.219 0.000 0.704
S 0.271 0.500 0.314
S 0.729 0.500 0.686
S 0.781 0.000 0.296

Output
Energy   -4.711 eV per atom
Uncorrected formation energy   -1363.8 meV/atom
Crystal system   monoclinic

=====

Which of these has the lowest energy?
Rb2ThCdS4

=====

Copy entry 1 word for word.
An optimized crystal structure of Ba2AlHg6Bi, computed with PBE.

Cell lengths 8.031, 9.788, 8.119 Å; angles 90.00, 90.00, 90.00 degrees
Atoms (fractional coordinates):
Ba 0.250 0.021 0.238
Ba 0.250 0.479 0.238
Ba 0.750 0.521 0.762
Ba 0.750 0.979 0.762
Al 0.250 0.250 0.583
Al 0.750 0.750 0.417
Hg 0.063 0.750 0.515
Hg 0.067 0.250 0.890
Hg 0.250 0.510 0.682
Hg 0.250 0.990 0.682
Hg 0.433 0.250 0.890
Hg 0.437 0.750 0.515
Hg 0.563 0.250 0.485
Hg 0.567 0.750 0.110
Hg 0.750 0.010 0.318
Hg 0.750 0.490 0.318
Hg 0.933 0.750 0.110
Hg 0.937 0.250 0.485
Bi 0.250 0.750 0.917
Bi 0.750 0.250 0.083

Output
Energy   -1.589 eV per atom
Crystal system   orthorhombic

=====

The highest energy belongs to which entry?
Ba2AlHg6Bi

=====

Which of these has the lowest energy?
Rb2ThCdS4